No. 1
Here is a relaxed Ce2TmGa3Pd4 crystal from the Alexandria database. Energies are from PBE.

The structure belongs to space group P-4m2 (No. 115); the cell edges are 4.250, 4.250 and 11.360 Å and the angles 90.00°, 90.00° and 90.00°. The distinct sites, in fractional coordinates, are Ce at (0.000, 0.500, 0.232), Tm at (0.000, 0.000, 0.500), Ga at (0.000, 0.500, 0.878), Ga at (0.500, 0.500, 0.500), Pd at (0.000, 0.000, 0.000), Pd at (0.000, 0.500, 0.657) and Pd at (0.500, 0.500, 0.000).

Its formation energy is -0.746 eV/atom. For the total moment, the calculation gives 0.1827 μB per atom. As for the density of states at the Fermi level: 16.3 states/eV/cell.

=====

No. 2
Here is a relaxed CeYGaPd crystal from the Alexandria database. Energies are from PBE.

The structure belongs to space group F-43m (No. 216); the cell edges are 7.199, 7.199 and 7.199 Å and the angles 90.00°, 90.00° and 90.00°. The distinct sites, in fractional coordinates, are Ce at (0.000, 0.000, 0.000), Y at (0.000, 0.000, 0.500), Ga at (0.250, 0.250, 0.750) and Pd at (0.250, 0.250, 0.250).

Its formation energy is -0.588 eV/atom. For the total moment, the calculation gives 0.1376 μB per atom. As for the density of states at the Fermi level: 27.4 states/eV/cell.